No. 1
PmNd8Y2 | the Alexandria database | GGA-PBE | relaxed; space group = No. 12
1.0
9.3226 -2.5897 0.0000
9.3226 2.5897 0.0000
-2.1541 0.0000 7.8955
Pm Nd Y
1 8 2
direct
0.0000 0.0000 0.0000
0.0914 0.0914 0.4547
0.1821 0.1821 0.9100
0.3631 0.3631 0.8160
0.4539 0.4539 0.2726
0.5461 0.5461 0.7274
0.6369 0.6369 0.1840
0.8179 0.8179 0.0900
0.9086 0.9086 0.5453
0.2728 0.2728 0.3648
0.7272 0.7272 0.6352

No. 2
Pm4Nd4Y5 | the Alexandria database | GGA-PBE | relaxed; space group = No. 87
1.0
-6.5523 6.5523 2.5614
6.5523 -6.5523 2.5614
6.5523 6.5523 -2.5614
Pm Nd Y
4 4 5
direct
0.1536 0.7701 0.9237
0.2299 0.1536 0.3834
0.7701 0.8464 0.6166
0.8464 0.2299 0.0763
0.0781 0.3839 0.4620
0.3839 0.9219 0.3057
0.6161 0.0781 0.6943
0.9219 0.6161 0.5380
0.0000 0.0000 0.0000
0.3095 0.5383 0.8478
0.4617 0.3095 0.7712
0.5383 0.6905 0.2288
0.6905 0.4617 0.1522

No. 3
PmNd2Y8 | the Alexandria database | GGA-PBE | relaxed; space group = No. 12
1.0
4.5479 -8.0518 0.0000
4.5479 8.0518 0.0000
-3.1396 0.0000 5.0539
Pm Nd Y
1 2 8
direct
0.0000 0.0000 0.0000
0.3056 0.6944 0.5000
0.6944 0.3056 0.5000
0.0987 0.3292 0.6663
0.2093 0.7907 0.0000
0.3292 0.0987 0.6663
0.4233 0.4233 0.2038
0.5767 0.5767 0.7962
0.6708 0.9013 0.3337
0.7907 0.2093 0.0000
0.9013 0.6708 0.3337

No. 4
PmNd9Y2 | the Alexandria database | GGA-PBE | relaxed; space group = No. 123
1.0
5.1775 0.0000 0.0000
0.0000 5.1775 0.0000
0.0000 0.0000 15.5256
Pm Nd Y
1 9 2
direct
0.0000 0.0000 0.0000
0.0000 0.5000 0.1675
0.0000 0.5000 0.5000
0.0000 0.5000 0.8325
0.5000 0.0000 0.1675
0.5000 0.0000 0.5000
0.5000 0.0000 0.8325
0.5000 0.5000 0.0000
0.5000 0.5000 0.3342
0.5000 0.5000 0.6658
0.0000 0.0000 0.3340
0.0000 0.0000 0.6660

No. 5
Pm3Nd2Y3 | the Alexandria database | GGA-PBE | relaxed; space group = No. 71
1.0
-2.5672 2.5694 10.2394
2.5672 -2.5694 10.2394
2.5672 2.5694 -10.2394
Pm Nd Y
3 2 3
direct
0.0000 0.0000 0.0000
0.3763 0.8763 0.5000
0.6237 0.1237 0.5000
0.2498 0.2498 0.0000
0.7502 0.7502 0.0000
0.1243 0.6243 0.5000
0.5000 0.5000 0.0000
0.8757 0.3757 0.5000

No. 6
Pm6Nd3Y2 | the Alexandria database | GGA-PBE | relaxed; space group = No. 166
1.0
1.8226 1.0523 32.7341
-1.8226 1.0523 32.7341
0.0000 -2.1046 32.7341
Pm Nd Y
6 3 2
direct
0.0918 0.0918 0.0918
0.1819 0.1819 0.1819
0.3639 0.3639 0.3639
0.6361 0.6361 0.6361
0.8181 0.8181 0.8181
0.9082 0.9082 0.9082
0.0000 0.0000 0.0000
0.2722 0.2722 0.2722
0.7278 0.7278 0.7278
0.4549 0.4549 0.4549
0.5451 0.5451 0.5451

No. 7
Pm3Nd4Y8 | the Alexandria database | GGA-PBE | relaxed; space group = No. 166
1.0
3.5258 2.0356 11.9231
-3.5258 2.0356 11.9231
0.0000 -4.0712 11.9231
Pm Nd Y
3 4 8
direct
0.0000 0.5000 0.5000
0.5000 0.0000 0.5000
0.5000 0.5000 0.0000
0.0000 0.0000 0.0000
0.1639 0.1639 0.1639
0.5000 0.5000 0.5000
0.8361 0.8361 0.8361
0.2504 0.2504 0.7493
0.2504 0.7493 0.2504
0.2507 0.7496 0.7496
0.2544 0.2544 0.2544
0.7456 0.7456 0.7456
0.7493 0.2504 0.2504
0.7496 0.2507 0.7496
0.7496 0.7496 0.2507

No. 8
Pm2Nd5Y12 | the Alexandria database | GGA-PBE | relaxed; space group = No. 2
1.0
6.8161 0.0000 0.0000
-1.7466 6.9481 0.0000
-1.3966 -3.8653 13.6017
Pm Nd Y
2 5 12
direct
0.2306 0.4235 0.4851
0.7694 0.5765 0.5149
0.1088 0.7213 0.0957
0.2312 0.9195 0.4796
0.5000 0.5000 0.0000
0.7688 0.0805 0.5204
0.8912 0.2787 0.9043
0.0692 0.9873 0.7078
0.0854 0.5076 0.7260
0.1653 0.2126 0.1122
0.3515 0.9410 0.9033
0.4654 0.6514 0.2915
0.4678 0.1557 0.3125
0.5322 0.8443 0.6875
0.5346 0.3486 0.7085
0.6485 0.0590 0.0967
0.8347 0.7874 0.8878
0.9146 0.4924 0.2740
0.9308 0.0127 0.2922

Number 1: magnetization 0.0 μB/cell, calculated formation energy 1.3 kJ/mol of atoms. Number 2: magnetization 0.0 μB/cell, calculated formation energy 1.4 kJ/mol of atoms. Number 3: magnetization 0.0 μB/cell, calculated formation energy 14.9 kJ/mol of atoms. Number 4: magnetization 0.0 μB/cell, calculated formation energy 1.3 kJ/mol of atoms. Number 5: magnetization 0.0 μB/cell, calculated formation energy 1.6 kJ/mol of atoms. Number 6: magnetization 0.0 μB/cell, calculated formation energy 1.2 kJ/mol of atoms. Number 7: magnetization 0.0 μB/cell, calculated formation energy 12.3 kJ/mol of atoms. Number 8: magnetization 0.0 μB/cell, calculated formation energy 8.5 kJ/mol of atoms.